[1]
First-principles (PBE) data for a geometry-optimized Tb5SmTl3 structure, as listed in the Alexandria database.

The structure in POSCAR format:
```
Tb5SmTl3
1.0
9.436 0.000 0.000
-4.718 8.172 0.000
0.000 0.000 6.762
Tb Sm Tl
10 2 6
Direct
0.000 0.331 0.250 Tb
0.000 0.669 0.750 Tb
0.331 0.000 0.250 Tb
0.331 0.331 0.750 Tb
0.333 0.667 0.000 Tb
0.333 0.667 0.500 Tb
0.667 0.333 0.000 Tb
0.667 0.333 0.500 Tb
0.669 0.000 0.750 Tb
0.669 0.669 0.250 Tb
0.000 0.000 0.000 Sm
0.000 0.000 0.500 Sm
0.000 0.337 0.750 Tl
0.000 0.663 0.250 Tl
0.337 0.000 0.750 Tl
0.337 0.337 0.250 Tl
0.663 0.000 0.250 Tl
0.663 0.663 0.750 Tl
```

## Properties
total magnetic moment	2.870	Bohr magnetons per cell
raw total energy	-4.1491	eV per atom
symmetry	P6_3/mcm, No. 193
DOS(E_F)	1.2139	states/eV/atom
ΔE_f	-0.264	eV/atom


[2]
First-principles (PBE) data for a geometry-optimized TbSm2Tl9 structure, as listed in the Alexandria database.

The structure in POSCAR format:
```
TbSm2Tl9
1.0
4.797 0.000 0.000
0.000 4.797 0.000
0.000 0.000 14.389
Tb Sm Tl
1 2 9
Direct
0.000 0.000 0.000 Tb
0.000 0.000 0.333 Sm
0.000 0.000 0.667 Sm
0.000 0.500 0.165 Tl
0.000 0.500 0.500 Tl
0.000 0.500 0.835 Tl
0.500 0.000 0.165 Tl
0.500 0.000 0.500 Tl
0.500 0.000 0.835 Tl
0.500 0.500 0.000 Tl
0.500 0.500 0.333 Tl
0.500 0.500 0.667 Tl
```

## Properties
total magnetic moment	0.000	Bohr magnetons per cell
raw total energy	-3.2272	eV per atom
symmetry	P4/mmm, No. 123
DOS(E_F)	0.3330	states/eV/atom
ΔE_f	-0.280	eV/atom


[3]
First-principles (PBE) data for a geometry-optimized TbSm2Tl4 structure, as listed in the Alexandria database.

The structure in POSCAR format:
```
TbSm2Tl4
1.0
5.806 0.000 0.000
0.000 5.806 0.000
0.000 0.000 15.727
Tb Sm Tl
2 4 8
Direct
0.000 0.000 0.000 Tb
0.500 0.500 0.500 Tb
0.000 0.000 0.399 Sm
0.000 0.000 0.601 Sm
0.500 0.500 0.101 Sm
0.500 0.500 0.899 Sm
0.000 0.000 0.196 Tl
0.000 0.000 0.804 Tl
0.000 0.500 0.000 Tl
0.000 0.500 0.500 Tl
0.500 0.000 0.000 Tl
0.500 0.000 0.500 Tl
0.500 0.500 0.304 Tl
0.500 0.500 0.696 Tl
```

## Properties
total magnetic moment	0.001	Bohr magnetons per cell
raw total energy	-3.2055	eV per atom
symmetry	I4/mmm, No. 139
DOS(E_F)	1.4377	states/eV/atom
ΔE_f	0.156	eV/atom
offset from the most stable computed form	0.3895	eV per atom